18
Lattice="5.5727 0.0000 0.0000 -2.7863 4.8261 0.0000 0.0000 0.0000 9.8605" Properties=species:S:1:pos:R:3 comment="PuHfAgO6, relaxed, DFT GGA-PBE" e_form_raw_mev_per_atom=-2234 spacegroup="No. 163" total_energy_ev_per_atom=-8.5544 pbc="T T T"
Pu 0.0000 3.2174 2.4651
Pu 2.7863 1.6087 7.3954
Hf 0.0000 3.2174 7.3954
Hf 2.7863 1.6087 2.4651
Ag 0.0000 0.0000 0.0000
Ag 0.0000 0.0000 4.9303
O -0.9924 1.8056 1.3986
O -1.7188 3.0639 3.5316
O 0.9924 1.8056 3.5316
O -0.7265 4.7827 1.3986
O 2.0599 0.0434 6.3289
O 1.0675 1.7622 8.4619
O 1.7188 3.0639 1.3986
O 0.7265 4.7827 3.5316
O 3.5128 0.0434 8.4619
O 1.7940 3.0205 6.3289
O 4.5052 1.7622 6.3289
O 3.7787 3.0205 8.4619